(1)
An optimized crystal structure of Ce8OsAu2, computed with GGA-PBE.

## Properties
Total DFT energy (no corrections) in eV/atom: -6.174
Space group: C2/m (12)
V in Å³/cell: 275

extended XYZ file:
```
11
Lattice="8.958 -2.371 0.000 8.958 2.371 0.000 -1.159 0.000 6.479" Properties=species:S:1:pos:R:3 pbc="T T T"
Ce -0.141 0.000 1.613
Ce 3.647 0.000 1.500
Ce 6.115 0.000 0.100
Ce 6.728 0.000 3.643
Ce 10.030 0.000 2.836
Ce 10.642 0.000 6.379
Ce 13.110 0.000 4.979
Ce 16.898 0.000 4.866
Os 8.958 0.000 0.000
Au 2.214 0.000 4.399
Au 14.543 0.000 2.080
```


(2)
An optimized crystal structure of AlReI2, computed with GGA-PBE.

## Properties
ΔE to the lowest computed polymorph in kJ/mol of atoms: 66.2
Space group: Fm-3m (225)
ΔE_f (raw) in meV/atom: 1261
V in Å³/cell: 85

extended XYZ file:
```
4
Lattice="0.000 3.495 3.495 3.495 0.000 3.495 3.495 3.495 0.000" Properties=species:S:1:pos:R:3 pbc="T T T"
Al 0.000 0.000 0.000
Re 3.495 3.495 3.495
I 1.748 1.748 1.748
I 5.243 5.243 5.243
```


(3)
An optimized crystal structure of Tl2TeSe, computed with GGA-PBE.

## Properties
ΔE to the lowest computed polymorph in kJ/mol of atoms: 8.6
Space group: I-42d (122)
ΔE_f (raw) in meV/atom: -128
V in Å³/cell: 336

extended XYZ file:
```
8
Lattice="-3.474 3.474 6.965 3.474 -3.474 6.965 3.474 3.474 -6.965" Properties=species:S:1:pos:R:3 pbc="T T T"
Tl 5.211 1.585 -1.741
Tl 1.585 1.737 1.741
Tl -1.737 1.889 5.224
Tl 1.889 1.737 8.706
Te 3.474 0.000 3.482
Te 0.000 0.000 6.965
Se 0.000 0.000 0.000
Se 0.000 3.474 3.482
```


(4)
An optimized crystal structure of TiRh4, computed with GGA-PBE.

## Properties
Total DFT energy (no corrections) in eV/atom: -6.651
Space group: Pm-3m (221)
V in Å³/cell: 89

extended XYZ file:
```
5
Lattice="4.469 0.000 0.000 0.000 4.469 0.000 0.000 0.000 4.469" Properties=species:S:1:pos:R:3 pbc="T T T"
Ti 0.000 0.000 0.000
Rh 0.000 0.000 2.235
Rh 0.000 2.235 0.000
Rh 2.235 0.000 0.000
Rh 2.235 2.235 2.235
```


(5)
An optimized crystal structure of LaSb2Pd7, computed with GGA-PBE.

## Properties
Space group: I4/mmm (139)
ΔE_f (raw) in meV/atom: -545
V in Å³/cell: 196

extended XYZ file:
```
10
Lattice="-2.136 2.136 10.734 2.136 -2.136 10.734 2.136 2.136 -10.734" Properties=species:S:1:pos:R:3 pbc="T T T"
La 0.000 0.000 0.000
Sb 0.000 0.000 7.010
Sb 0.000 0.000 14.458
Pd 2.136 0.000 2.118
Pd 2.136 0.000 5.367
Pd 2.136 0.000 8.616
Pd 0.000 0.000 10.734
Pd 0.000 2.136 2.118
Pd 0.000 2.136 5.367
Pd 0.000 2.136 8.616
```


(6)
An optimized crystal structure of SrMgZn2Cu, computed with GGA-PBE.

## Properties
ΔE to the lowest computed polymorph in kJ/mol of atoms: 0.0
Space group: Imm2 (44)
V in Å³/cell: 108

extended XYZ file:
```
5
Lattice="-2.138 2.170 5.822 2.138 -2.170 5.822 2.138 2.170 -5.822" Properties=species:S:1:pos:R:3 pbc="T T T"
Sr 0.000 0.000 0.000
Mg 2.138 0.000 2.976
Zn 0.000 0.000 7.094
Zn 0.000 2.170 3.024
Cu 0.000 0.000 4.559
```


(7)
An optimized crystal structure of Tm5SnSe5, computed with GGA-PBE.

## Properties
Space group: C2/m (12)
ΔE_f (raw) in meV/atom: -1597
V in Å³/cell: 289

extended XYZ file:
```
11
Lattice="6.448 -2.892 0.000 6.448 2.892 0.000 -2.559 0.000 7.761" Properties=species:S:1:pos:R:3 pbc="T T T"
Tm 0.000 0.000 0.000
Tm 2.608 0.000 5.117
Tm 3.869 0.000 1.375
Tm 6.469 0.000 6.385
Tm 7.729 0.000 2.644
Sn 6.448 0.000 0.000
Se 1.291 0.000 2.607
Se 0.060 0.000 6.502
Se 5.169 0.000 3.880
Se 10.278 0.000 1.259
Se 9.047 0.000 5.153
```


(8)
An optimized crystal structure of Ac2HoTe2As2, computed with GGA-PBE.

## Properties
Space group: I4/mmm (139)
ΔE_f (raw) in meV/atom: -1242
V in Å³/cell: 236

extended XYZ file:
```
7
Lattice="-2.634 2.634 8.502 2.634 -2.634 8.502 2.634 2.634 -8.502" Properties=species:S:1:pos:R:3 pbc="T T T"
Ac 0.000 0.000 2.102
Ac 0.000 0.000 14.903
Ho 0.000 0.000 8.502
Te 0.000 0.000 5.420
Te 0.000 0.000 11.584
As 2.634 0.000 0.000
As 0.000 2.634 0.000
```


(9)
An optimized crystal structure of Sn3PbCl, computed with GGA-PBE.

## Properties
ΔE to the lowest computed polymorph in kJ/mol of atoms: 26.7
Space group: Pm-3m (221)
ΔE_f (raw) in meV/atom: 557
V in Å³/cell: 206

extended XYZ file:
```
5
Lattice="5.909 0.000 0.000 0.000 5.909 0.000 0.000 0.000 5.909" Properties=species:S:1:pos:R:3 pbc="T T T"
Sn 0.000 0.000 2.954
Sn 0.000 2.954 0.000
Sn 2.954 0.000 0.000
Pb 0.000 0.000 0.000
Cl 2.954 2.954 2.954
```


(10)
An optimized crystal structure of Ba3Sm3ScSe8, computed with GGA-PBE.

## Properties
Space group: R-3m (166)
ΔE_f (raw) in meV/atom: -1895
V in Å³/cell: 472

extended XYZ file:
```
15
Lattice="4.248 2.453 7.555 -4.248 2.453 7.555 0.000 -4.905 7.555" Properties=species:S:1:pos:R:3 pbc="T T T"
Ba -2.124 -1.226 7.555
Ba -2.124 1.226 15.111
Ba 0.000 2.453 7.555
Sm -4.248 0.000 11.333
Sm -2.124 1.226 3.778
Sm 2.124 1.226 3.778
Sc 0.000 0.000 11.333
Se 0.000 0.000 5.439
Se -2.030 -1.172 12.898
Se 0.000 -2.344 9.768
Se -2.030 1.172 9.768
Se 2.030 -1.172 12.898
Se 0.000 2.344 12.898
Se 2.030 1.172 9.768
Se 0.000 0.000 17.228
```


(11)
An optimized crystal structure of Sm2Ho, computed with GGA-PBE.

## Properties
ΔE to the lowest computed polymorph in kJ/mol of atoms: 0.8
Space group: Fmm2 (42)
V in Å³/cell: 99

extended XYZ file:
```
3
Lattice="0.000 8.736 3.102 1.823 0.000 3.102 1.823 8.736 0.000" Properties=species:S:1:pos:R:3 pbc="T T T"
Sm 1.823 2.848 3.102
Sm 1.823 14.625 3.102
Ho 1.823 8.736 2.049
```


(12)
An optimized crystal structure of K4Ce3PuO8, computed with GGA-PBE.

## Properties
Space group: R-3m (166)
ΔE_f (raw) in meV/atom: -2544
V in Å³/cell: 286

extended XYZ file:
```
16
Lattice="3.625 2.093 6.285 -3.625 2.093 6.285 0.000 -4.186 6.285" Properties=species:S:1:pos:R:3 pbc="T T T"
K 0.000 0.000 0.000
K -1.813 -1.047 6.285
K -1.813 1.047 12.569
K 0.000 2.093 6.285
Ce -3.625 0.000 9.427
Ce -1.813 1.047 3.142
Ce 1.813 1.047 3.142
Pu 0.000 0.000 9.427
O -1.819 -1.050 10.615
O 0.000 0.000 4.341
O 0.000 -2.101 8.239
O -1.819 1.050 8.239
O 1.819 -1.050 10.615
O 0.000 2.101 10.615
O 0.000 0.000 14.512
O 1.819 1.050 8.239
```